Below is a relaxed structure of SrLa4Pr5, with properties calculated at the GGA-PBE level.

Unit cell a=3.781 b=3.781 c=26.529 alpha=90.00 beta=90.00 gamma=90.00
Sites, in units of the cell vectors:
1 Sr 0.000 0.000 0.000
2 La 0.000 0.000 0.206
3 La 0.000 0.000 0.402
4 La 0.000 0.000 0.598
5 La 0.000 0.000 0.794
6 Pr 0.500 0.500 0.113
7 Pr 0.500 0.500 0.305
8 Pr 0.500 0.500 0.500
9 Pr 0.500 0.500 0.695
10 Pr 0.500 0.500 0.887

SG = P4/mmm
ΔE_f = 0.36 eV per formula unit
D(E_F) = 17.2 states/eV/cell
Total energy = -4.49 eV/atom

---

Below is a relaxed structure of Sb3Se2S2, with properties calculated at the GGA-PBE level.

Unit cell a=8.182 b=7.648 c=7.634 alpha=90.00 beta=113.69 gamma=90.00
Sites, in units of the cell vectors:
1 Sb 0.000 0.000 0.000
2 Sb 0.000 0.500 0.500
3 Sb 0.238 0.045 0.710
4 Sb 0.238 0.455 0.210
5 Sb 0.762 0.545 0.790
6 Sb 0.762 0.955 0.290
7 Se 0.345 0.155 0.097
8 Se 0.345 0.345 0.597
9 Se 0.655 0.655 0.403
10 Se 0.655 0.845 0.903
11 S 0.071 0.654 0.858
12 S 0.071 0.846 0.358
13 S 0.929 0.154 0.642
14 S 0.929 0.346 0.142

SG = P2_1/c
D(E_F) = 2.7 states/eV/cell
Total energy = -4.07 eV/atom

---

Below is a relaxed structure of Nd4ZnBi, with properties calculated at the GGA-PBE level.

Unit cell a=8.400 b=8.400 c=6.183 alpha=101.29 beta=101.29 gamma=115.38
Sites, in units of the cell vectors:
1 Nd 0.079 0.711 0.940
2 Nd 0.212 0.389 0.643
3 Nd 0.289 0.921 0.560
4 Nd 0.389 0.212 0.143
5 Nd 0.611 0.788 0.857
6 Nd 0.711 0.079 0.440
7 Nd 0.788 0.611 0.357
8 Nd 0.921 0.289 0.060
9 Zn 0.000 0.000 0.250
10 Zn 0.000 0.000 0.750
11 Bi 0.384 0.616 0.250
12 Bi 0.616 0.384 0.750

SG = C2/c
ΔE_f = -2.14 eV per formula unit
D(E_F) = 13.9 states/eV/cell
Total energy = -4.39 eV/atom

---

Below is a relaxed structure of MnSbS2Cl, with properties calculated at the GGA-PBE level.

Unit cell a=4.769 b=4.769 c=4.549 alpha=90.00 beta=90.00 gamma=90.00
Sites, in units of the cell vectors:
1 Mn 0.000 0.000 0.000
2 Sb 0.500 0.500 0.500
3 S 0.000 0.500 0.000
4 S 0.500 0.000 0.000
5 Cl 0.000 0.000 0.500

SG = P4/mmm
D(E_F) = 2.6 states/eV/cell
Total energy = -4.77 eV/atom

---

Below is a relaxed structure of Pa2Ni12Ge7, with properties calculated at the GGA-PBE level.

Unit cell a=9.356 b=9.356 c=3.846 alpha=90.00 beta=90.00 gamma=120.00
Sites, in units of the cell vectors:
1 Pa 0.000 0.000 0.000
2 Pa 0.333 0.667 0.500
3 Ni 0.034 0.279 0.500
4 Ni 0.126 0.734 0.000
5 Ni 0.245 0.966 0.500
6 Ni 0.266 0.392 0.000
7 Ni 0.382 0.189 0.000
8 Ni 0.564 0.430 0.500
9 Ni 0.570 0.134 0.500
10 Ni 0.608 0.874 0.000
11 Ni 0.721 0.755 0.500
12 Ni 0.807 0.618 0.000
13 Ni 0.811 0.193 0.000
14 Ni 0.866 0.436 0.500
15 Ge 0.051 0.453 0.000
16 Ge 0.265 0.237 0.500
17 Ge 0.402 0.949 0.000
18 Ge 0.547 0.598 0.000
19 Ge 0.667 0.333 0.000
20 Ge 0.763 0.028 0.500
21 Ge 0.972 0.735 0.500

SG = P-6
ΔE_f = -9.19 eV per formula unit
D(E_F) = 12.1 states/eV/cell
Total energy = -6.18 eV/atom

---

Below is a relaxed structure of PrGdGaNi, with properties calculated at the GGA-PBE level.

Unit cell a=5.075 b=5.075 c=5.075 alpha=60.00 beta=60.00 gamma=60.00
Sites, in units of the cell vectors:
1 Pr 0.000 0.000 0.000
2 Gd 0.500 0.500 0.500
3 Ga 0.250 0.250 0.250
4 Ni 0.750 0.750 0.750

SG = F-43m
ΔE_f = -1.42 eV per formula unit
D(E_F) = 3.9 states/eV/cell
Total energy = -7.27 eV/atom

---

Below is a relaxed structure of CdHg3H4, with properties calculated at the GGA-PBE level.

Unit cell a=11.766 b=11.766 c=11.766 alpha=162.85 beta=156.50 gamma=29.23
Sites, in units of the cell vectors:
1 Cd 0.000 0.000 0.000
2 Hg 0.372 0.872 0.500
3 Hg 0.500 0.500 0.000
4 Hg 0.628 0.128 0.500
5 H 0.218 0.611 0.393
6 H 0.218 0.825 0.607
7 H 0.782 0.175 0.393
8 H 0.782 0.389 0.607

SG = Immm
D(E_F) = 0.8 states/eV/cell
Total energy = -1.85 eV/atom

---

Below is a relaxed structure of La2Pm2Ho7, with properties calculated at the GGA-PBE level.

Unit cell a=6.921 b=6.921 c=9.439 alpha=90.00 beta=90.00 gamma=123.68
Sites, in units of the cell vectors:
1 La 0.248 0.248 0.000
2 La 0.752 0.752 0.000
3 Pm 0.225 0.775 0.500
4 Pm 0.775 0.225 0.500
5 Ho 0.000 0.000 0.318
6 Ho 0.000 0.000 0.682
7 Ho 0.000 0.500 0.182
8 Ho 0.000 0.500 0.818
9 Ho 0.500 0.000 0.182
10 Ho 0.500 0.000 0.818
11 Ho 0.500 0.500 0.500

SG = Cmmm
ΔE_f = 3.82 eV per formula unit
D(E_F) = 17.9 states/eV/cell
Total energy = -4.33 eV/atom

---

Below is a relaxed structure of Y3Pt, with properties calculated at the GGA-PBE level.

Unit cell a=9.763 b=9.763 c=9.763 alpha=22.53 beta=22.53 gamma=22.53
Sites, in units of the cell vectors:
1 Y 0.000 0.000 0.000
2 Y 0.229 0.229 0.229
3 Y 0.771 0.771 0.771
4 Pt 0.500 0.500 0.500

SG = R-3m
ΔE_f = -1.91 eV per formula unit
D(E_F) = 6.1 states/eV/cell
Total energy = -6.84 eV/atom

---

Below is a relaxed structure of HfSiSbTe2, with properties calculated at the GGA-PBE level.

Unit cell a=5.146 b=5.146 c=5.147 alpha=90.00 beta=90.00 gamma=90.00
Sites, in units of the cell vectors:
1 Hf 0.000 0.000 0.000
2 Si 0.500 0.500 0.500
3 Sb 0.500 0.500 0.000
4 Te 0.000 0.500 0.500
5 Te 0.500 0.000 0.500

SG = P4/mmm
D(E_F) = 3.6 states/eV/cell
Total energy = -4.56 eV/atom

---

Below is a relaxed structure of La2MgSnO, with properties calculated at the GGA-PBE level.

Unit cell a=5.144 b=5.144 c=4.460 alpha=90.00 beta=90.00 gamma=90.00
Sites, in units of the cell vectors:
1 La 0.000 0.500 0.000
2 La 0.500 0.000 0.000
3 Mg 0.000 0.000 0.500
4 Sn 0.500 0.500 0.500
5 O 0.000 0.000 0.000

SG = P4/mmm
D(E_F) = 3.6 states/eV/cell
Total energy = -5.50 eV/atom

---

Below is a relaxed structure of TmLuScTi, with properties calculated at the GGA-PBE level.

Unit cell a=5.230 b=5.230 c=5.230 alpha=60.00 beta=60.00 gamma=60.00
Sites, in units of the cell vectors:
1 Tm 0.000 0.000 0.000
2 Lu 0.500 0.500 0.500
3 Sc 0.750 0.750 0.750
4 Ti 0.250 0.250 0.250

SG = F-43m
ΔE_f = 0.82 eV per formula unit
D(E_F) = 7.8 states/eV/cell
Total energy = -5.60 eV/atom